Version a
Density functional theory data (GGA-PBE) for a geometry-optimized Pr2Y4Er5 structure.

abc: 10.985 10.985 10.985
angles: 161.70 116.56 66.63
Positions (direct):
Pr: 0.203 0.203 0.000
Pr: 0.797 0.797 0.000
Y: 0.271 0.000 0.271
Y: 0.409 0.409 0.000
Y: 0.591 0.591 0.000
Y: 0.729 0.000 0.729
Er: 0.000 0.500 0.500
Er: 0.111 0.821 0.290
Er: 0.469 0.179 0.290
Er: 0.531 0.821 0.710
Er: 0.889 0.179 0.710

Values from the calculation:
Space-group type ... Immm (71)
M_tot ... 0.00 μB/cell

Version b
Density functional theory data (GGA-PBE) for a geometry-optimized Pr2Y4Er5 structure.

abc: 3.688 9.235 10.908
angles: 77.37 80.29 90.00
Positions (direct):
Pr: 0.115 0.004 0.270
Pr: 0.885 0.996 0.730
Y: 0.172 0.420 0.157
Y: 0.471 0.792 0.558
Y: 0.529 0.208 0.442
Y: 0.828 0.580 0.843
Er: 0.000 0.500 0.500
Er: 0.251 0.827 0.998
Er: 0.382 0.307 0.737
Er: 0.618 0.693 0.263
Er: 0.749 0.173 0.002

Values from the calculation:
Space-group type ... P-1 (2)
M_tot ... 0.00 μB/cell

Most stable to least stable, the ends of the list are version b and version a.

Version a
Density functional theory data (GGA-PBE) for a geometry-optimized Pr5YEr structure.

abc: 8.993 8.993 11.005
angles: 123.32 123.32 43.90
Positions (direct):
Pr: 0.011 0.989 0.750
Pr: 0.079 0.576 0.910
Pr: 0.160 0.657 0.406
Pr: 0.343 0.840 0.094
Pr: 0.424 0.921 0.590
Pr: 0.576 0.079 0.410
Pr: 0.657 0.160 0.906
Pr: 0.840 0.343 0.594
Pr: 0.921 0.424 0.090
Pr: 0.989 0.011 0.250
Y: 0.487 0.513 0.750
Y: 0.513 0.487 0.250
Er: 0.000 0.500 0.500
Er: 0.500 0.000 0.000

Values from the calculation:
Space-group type ... C2/c (15)
M_tot ... 0.00 μB/cell

Version b
Density functional theory data (GGA-PBE) for a geometry-optimized Pr5YEr structure.

abc: 8.148 8.148 5.977
angles: 111.45 111.45 66.36
Positions (direct):
Pr: 0.000 0.000 0.000
Pr: 0.248 0.248 0.748
Pr: 0.323 0.677 0.500
Pr: 0.677 0.323 0.500
Pr: 0.752 0.752 0.252
Y: 0.500 0.500 0.000
Er: 0.000 0.000 0.500

Values from the calculation:
Space-group type ... C2/m (12)
M_tot ... 0.00 μB/cell

Most stable to least stable, the ends of the list are version a and version b.

Version a
Density functional theory data (GGA-PBE) for a geometry-optimized PrY2Er8 structure.

abc: 9.342 9.342 9.342
angles: 145.96 128.86 62.86
Positions (direct):
Pr: 0.000 0.000 0.000
Y: 0.300 0.300 0.000
Y: 0.700 0.700 0.000
Er: 0.154 0.861 0.293
Er: 0.163 0.663 0.500
Er: 0.295 0.500 0.795
Er: 0.433 0.139 0.293
Er: 0.567 0.861 0.707
Er: 0.705 0.500 0.205
Er: 0.837 0.337 0.500
Er: 0.846 0.139 0.707

Values from the calculation:
Space-group type ... Immm (71)
M_tot ... 0.00 μB/cell

Version b
Density functional theory data (GGA-PBE) for a geometry-optimized PrY2Er8 structure.

abc: 9.709 9.709 5.905
angles: 107.70 107.70 123.07
Positions (direct):
Pr: 0.000 0.000 0.000
Y: 0.311 0.689 0.500
Y: 0.689 0.311 0.500
Er: 0.099 0.361 0.729
Er: 0.201 0.799 0.000
Er: 0.361 0.099 0.729
Er: 0.499 0.499 0.257
Er: 0.501 0.501 0.743
Er: 0.639 0.901 0.271
Er: 0.799 0.201 0.000
Er: 0.901 0.639 0.271

Values from the calculation:
Space-group type ... C2/m (12)
M_tot ... 0.00 μB/cell

Most stable to least stable, the ends of the list are version a and version b.

Version a
Density functional theory data (GGA-PBE) for a geometry-optimized Pr2YEr5 structure.

abc: 9.470 9.470 6.571
angles: 97.85 97.85 62.87
Positions (direct):
Pr: 0.167 0.675 0.884
Pr: 0.325 0.833 0.616
Pr: 0.675 0.167 0.384
Pr: 0.833 0.325 0.116
Y: 0.000 0.500 0.000
Y: 0.500 0.000 0.500
Er: 0.014 0.188 0.648
Er: 0.188 0.014 0.148
Er: 0.214 0.390 0.474
Er: 0.390 0.214 0.974
Er: 0.441 0.559 0.250
Er: 0.559 0.441 0.750
Er: 0.610 0.786 0.026
Er: 0.786 0.610 0.526
Er: 0.812 0.986 0.852
Er: 0.986 0.812 0.352

Values from the calculation:
Space-group type ... C2/c (15)
M_tot ... 0.01 μB/cell

Version b
Density functional theory data (GGA-PBE) for a geometry-optimized Pr2YEr5 structure.

abc: 7.133 14.267 5.046
angles: 90.00 90.00 90.00
Positions (direct):
Pr: 0.249 0.126 0.000
Pr: 0.251 0.626 0.000
Pr: 0.749 0.374 0.000
Pr: 0.751 0.874 0.000
Y: 0.000 0.500 0.500
Y: 0.500 0.000 0.500
Er: 0.000 0.000 0.500
Er: 0.000 0.249 0.500
Er: 0.000 0.751 0.500
Er: 0.250 0.374 0.000
Er: 0.250 0.874 0.000
Er: 0.500 0.251 0.500
Er: 0.500 0.500 0.500
Er: 0.500 0.749 0.500
Er: 0.750 0.126 0.000
Er: 0.750 0.626 0.000

Values from the calculation:
Space-group type ... Pbam (55)
M_tot ... 0.00 μB/cell

Most stable to least stable, the ends of the list are version b and version a.